## ThPa2Ti (PBE)

Data for a geometry-optimized ThPa2Ti structure.

Computed properties:
- N(E_F): 9.565 states/eV per cell
- VASP energy: -8.19 eV per atom
- Energy of formation from the pure elements: 0.384 eV per atom
- ΔE to the lowest computed polymorph: 200 meV per atom

Structure (POSCAR):
```
ThPa2Ti
1.0
0.000 3.662 3.662
3.662 0.000 3.662
3.662 3.662 0.000
Th Pa Ti
1 2 1
direct
0.000 0.000 0.000
0.250 0.250 0.250
0.750 0.750 0.750
0.500 0.500 0.500
```

---

## ThPa2Ti (PBE)

Data for a geometry-optimized ThPa2Ti structure.

Computed properties:
- N(E_F): 8.787 states/eV per cell
- VASP energy: -8.39 eV per atom
- Energy of formation from the pure elements: 0.184 eV per atom
- ΔE to the lowest computed polymorph: 0 meV per atom

Structure (POSCAR):
```
ThPa2Ti
1.0
3.434 0.000 0.000
0.000 3.434 0.000
0.000 0.000 8.434
Th Pa Ti
1 2 1
direct
0.000 0.000 0.000
0.500 0.500 0.280
0.500 0.500 0.720
0.000 0.000 0.500
```

---

## ThPaTi2 (PBE)

Data for a geometry-optimized ThPaTi2 structure.

Computed properties:
- N(E_F): 5.561 states/eV per cell
- VASP energy: -8.01 eV per atom
- Energy of formation from the pure elements: 0.166 eV per atom

Structure (POSCAR):
```
ThPaTi2
1.0
3.684 0.000 0.000
0.000 3.684 0.000
0.000 0.000 6.933
Th Pa Ti
1 1 2
direct
0.000 0.000 0.000
0.000 0.000 0.500
0.500 0.500 0.301
0.500 0.500 0.699
```

---

## ThPa2Tl (PBE)

Data for a geometry-optimized ThPa2Tl structure.

Computed properties:
- N(E_F): 9.247 states/eV per cell
- VASP energy: -6.85 eV per atom
- Energy of formation from the pure elements: 0.343 eV per atom
- ΔE to the lowest computed polymorph: 204 meV per atom

Structure (POSCAR):
```
ThPa2Tl
1.0
0.000 3.784 3.784
3.784 0.000 3.784
3.784 3.784 0.000
Th Pa Tl
1 2 1
direct
0.000 0.000 0.000
0.250 0.250 0.250
0.750 0.750 0.750
0.500 0.500 0.500
```

---

## ThPa2Tl (PBE)

Data for a geometry-optimized ThPa2Tl structure.

Computed properties:
- N(E_F): 9.056 states/eV per cell
- VASP energy: -7.06 eV per atom
- Energy of formation from the pure elements: 0.139 eV per atom
- ΔE to the lowest computed polymorph: 0 meV per atom

Structure (POSCAR):
```
ThPa2Tl
1.0
4.633 0.000 0.000
0.000 4.633 0.000
0.000 0.000 5.026
Th Pa Tl
1 2 1
direct
0.000 0.000 0.000
0.000 0.500 0.500
0.500 0.000 0.500
0.500 0.500 0.000
```

---

## ThPa2Tl (PBE)

Data for a geometry-optimized ThPa2Tl structure.

Computed properties:
- N(E_F): 9.695 states/eV per cell
- VASP energy: -6.92 eV per atom
- Energy of formation from the pure elements: 0.279 eV per atom
- ΔE to the lowest computed polymorph: 140 meV per atom

Structure (POSCAR):
```
ThPa2Tl
1.0
4.098 0.000 0.000
0.000 4.098 0.000
0.000 0.000 6.681
Th Pa Tl
1 2 1
direct
0.000 0.000 0.000
0.500 0.500 0.282
0.500 0.500 0.718
0.000 0.000 0.500
```

---

## TmTh2Pa (PBE)

Data for a geometry-optimized TmTh2Pa structure.

Computed properties:
- N(E_F): 6.950 states/eV per cell
- VASP energy: -7.11 eV per atom
- Energy of formation from the pure elements: 0.094 eV per atom
- ΔE to the lowest computed polymorph: 18 meV per atom

Structure (POSCAR):
```
TmTh2Pa
1.0
1.743 1.006 11.355
-1.743 1.006 11.355
0.000 -2.012 11.355
Tm Th Pa
1 2 1
direct
0.000 0.000 0.000
0.583 0.583 0.583
0.753 0.753 0.753
0.169 0.169 0.169
```

---

## TmTh2Pa (PBE)

Data for a geometry-optimized TmTh2Pa structure.

Computed properties:
- N(E_F): 9.516 states/eV per cell
- VASP energy: -6.94 eV per atom
- Energy of formation from the pure elements: 0.260 eV per atom
- ΔE to the lowest computed polymorph: 183 meV per atom

Structure (POSCAR):
```
TmTh2Pa
1.0
0.000 3.902 3.902
3.902 0.000 3.902
3.902 3.902 0.000
Tm Th Pa
1 2 1
direct
0.000 0.000 0.000
0.250 0.250 0.250
0.750 0.750 0.750
0.500 0.500 0.500
```